# 1
# AcHgPb2 (PBE, relaxed)
# - Total energy: -0.123 Ha/atom
# - DFT formation energy: -153 kJ/mol of formula units
data_AcHgPb2
_chemical_formula_sum 'Ac1 Hg1 Pb2'
_cell_length_a 5.004
_cell_length_b 5.004
_cell_length_c 4.972
_cell_angle_alpha 90.00
_cell_angle_beta 90.00
_cell_angle_gamma 90.00
_space_group_name_H-M_alt 'P 4/m m m'
_space_group_IT_number 123
_space_group_name_Hall '-P 4 2'
loop_
_atom_site_label
_atom_site_type_symbol
_atom_site_fract_x
_atom_site_fract_y
_atom_site_fract_z
Ac1 Ac 0.000 0.000 0.000
Hg1 Hg 0.500 0.500 0.000
Pb1 Pb 0.000 0.500 0.500

# 2
# Ac2HgPb (PBE, relaxed)
# - Total energy: -0.130 Ha/atom
# - DFT formation energy: -187 kJ/mol of formula units
data_Ac2HgPb
_chemical_formula_sum 'Ac8 Hg4 Pb4'
_cell_length_a 8.226
_cell_length_b 8.226
_cell_length_c 8.226
_cell_angle_alpha 90.00
_cell_angle_beta 90.00
_cell_angle_gamma 90.00
_space_group_name_H-M_alt 'F m -3 m'
_space_group_IT_number 225
_space_group_name_Hall '-F 4 2 3'
loop_
_atom_site_label
_atom_site_type_symbol
_atom_site_fract_x
_atom_site_fract_y
_atom_site_fract_z
Ac1 Ac 0.250 0.250 0.250
Hg1 Hg 0.000 0.000 0.000
Pb1 Pb 0.000 0.000 0.500

# 3
# AcHgPb (PBE, relaxed)
# - Total energy: -0.116 Ha/atom
# - DFT formation energy: -130 kJ/mol of formula units
data_AcHgPb
_chemical_formula_sum 'Ac1 Hg1 Pb1'
_cell_length_a 4.9895
_cell_length_b 4.9895
_cell_length_c 4.5851
_cell_angle_alpha 90.00
_cell_angle_beta 90.00
_cell_angle_gamma 120.00
_space_group_name_H-M_alt 'P 3 m 1'
_space_group_IT_number 156
loop_
_space_group_symop_operation_xyz
'x,y,z'
'-y,x-y,z'
'-x+y,-x,z'
'-y,-x,z'
'-x+y,y,z'
'x,x-y,z'
loop_
_atom_site_label
_atom_site_type_symbol
_atom_site_fract_x
_atom_site_fract_y
_atom_site_fract_z
Ac1 Ac 0.0000 0.0000 0.0000
Hg1 Hg 0.6667 0.3333 0.3677
Pb1 Pb 0.3333 0.6667 0.5652

# 4
# Ac2Hg16Pb (PBE, relaxed)
# - Total energy: -0.037 Ha/atom
# - DFT formation energy: -253 kJ/mol of formula units
data_Ac2Hg16Pb
_chemical_formula_sum 'Ac6 Hg48 Pb3'
_cell_length_a 9.7687
_cell_length_b 9.7687
_cell_length_c 19.3322
_cell_angle_alpha 90.00
_cell_angle_beta 90.00
_cell_angle_gamma 120.00
_space_group_name_H-M_alt 'R 3 m'
_space_group_IT_number 160
_space_group_name_Hall 'R 3 -2"'
loop_
_atom_site_label
_atom_site_type_symbol
_atom_site_fract_x
_atom_site_fract_y
_atom_site_fract_z
Ac1 Ac 0.0000 0.0000 0.0000
Ac2 Ac 0.0000 0.0000 0.4058
Hg1 Hg 0.0000 0.0000 0.8177
Hg2 Hg 0.0200 0.5100 0.1917
Hg3 Hg 0.0350 0.3678 0.3678
Hg4 Hg 0.0887 0.5444 0.8174
Hg5 Hg 0.1842 0.3684 0.9139
Pb1 Pb 0.0000 0.0000 0.6096

# 5
# Ac3Hg2Pb (PBE, relaxed)
# - Total energy: -0.119 Ha/atom
# - DFT formation energy: -276 kJ/mol of formula units
data_Ac3Hg2Pb
_chemical_formula_sum 'Ac6 Hg4 Pb2'
_cell_length_a 5.784
_cell_length_b 17.477
_cell_length_c 4.067
_cell_angle_alpha 90.00
_cell_angle_beta 90.00
_cell_angle_gamma 90.00
_space_group_name_H-M_alt 'C m m m'
_space_group_IT_number 65
_space_group_name_Hall '-C 2 2'
loop_
_atom_site_label
_atom_site_type_symbol
_atom_site_fract_x
_atom_site_fract_y
_atom_site_fract_z
Ac1 Ac 0.000 0.000 0.000
Ac2 Ac 0.000 0.332 0.000
Hg1 Hg 0.000 0.171 0.500
Pb1 Pb 0.000 0.500 0.500

# 6
# Ac2Hg8Pb (PBE, relaxed)
# - Total energy: -0.058 Ha/atom
# - DFT formation energy: -284 kJ/mol of formula units
data_Ac2Hg8Pb
_chemical_formula_sum 'Ac4 Hg16 Pb2'
_cell_length_a 18.563
_cell_length_b 4.965
_cell_length_c 7.441
_cell_angle_alpha 90.00
_cell_angle_beta 112.13
_cell_angle_gamma 90.00
_space_group_name_H-M_alt 'C 1 2/m 1'
_space_group_IT_number 12
loop_
_space_group_symop_operation_xyz
'x,y,z'
'-x,-y,-z'
'-x,y,-z'
'x,-y,z'
'x+1/2,y+1/2,z'
'-x+1/2,-y+1/2,-z'
'-x+1/2,y+1/2,-z'
'x+1/2,-y+1/2,z'
loop_
_atom_site_label
_atom_site_type_symbol
_atom_site_fract_x
_atom_site_fract_y
_atom_site_fract_z
Ac1 Ac 0.216 0.000 0.207
Hg1 Hg 0.018 0.000 0.210
Hg2 Hg 0.118 0.500 0.918
Hg3 Hg 0.136 0.500 0.358
Hg4 Hg 0.148 0.000 0.672
Pb1 Pb 0.000 0.500 0.500

# 7
# Ac2Hg8Pb (PBE, relaxed)
# - Total energy: -0.058 Ha/atom
# - DFT formation energy: -306 kJ/mol of formula units
data_Ac2Hg8Pb
_chemical_formula_sum 'Ac2 Hg8 Pb1'
_cell_length_a 5.415
_cell_length_b 7.241
_cell_length_c 8.365
_cell_angle_alpha 78.30
_cell_angle_beta 77.34
_cell_angle_gamma 85.13
_space_group_name_H-M_alt 'P -1'
_space_group_IT_number 2
loop_
_space_group_symop_operation_xyz
'x,y,z'
'-x,-y,-z'
loop_
_atom_site_label
_atom_site_type_symbol
_atom_site_fract_x
_atom_site_fract_y
_atom_site_fract_z
Ac1 Ac 0.198 0.243 0.147
Hg1 Hg 0.215 0.740 0.116
Hg2 Hg 0.256 0.887 0.493
Hg3 Hg 0.299 0.073 0.785
Hg4 Hg 0.375 0.523 0.743
Pb1 Pb 0.000 0.500 0.500

# 8
# AcHgPb2 (PBE, relaxed)
# - Total energy: -0.116 Ha/atom
# - DFT formation energy: -73 kJ/mol of formula units
data_AcHgPb2
_chemical_formula_sum 'Ac3 Hg3 Pb6'
_cell_length_a 5.2866
_cell_length_b 5.2866
_cell_length_c 16.2360
_cell_angle_alpha 90.00
_cell_angle_beta 90.00
_cell_angle_gamma 120.00
_space_group_name_H-M_alt 'R -3 m'
_space_group_IT_number 166
_space_group_name_Hall '-R 3 2"'
loop_
_atom_site_label
_atom_site_type_symbol
_atom_site_fract_x
_atom_site_fract_y
_atom_site_fract_z
Ac1 Ac 0.0000 0.0000 0.0000
Hg1 Hg 0.0000 0.0000 0.5000
Pb1 Pb 0.0000 0.0000 0.2215

# 9
# Ac2Hg6Pb (PBE, relaxed)
# - Total energy: -0.068 Ha/atom
# - DFT formation energy: -289 kJ/mol of formula units
data_Ac2Hg6Pb
_chemical_formula_sum 'Ac2 Hg6 Pb1'
_cell_length_a 6.9590
_cell_length_b 6.9590
_cell_length_c 6.1796
_cell_angle_alpha 90.00
_cell_angle_beta 90.00
_cell_angle_gamma 120.00
_space_group_name_H-M_alt 'P -3 m 1'
_space_group_IT_number 164
_space_group_name_Hall '-P 3 2"'
loop_
_atom_site_label
_atom_site_type_symbol
_atom_site_fract_x
_atom_site_fract_y
_atom_site_fract_z
Ac1 Ac 0.3333 0.6667 0.1812
Hg1 Hg 0.1847 0.3694 0.6680
Pb1 Pb 0.0000 0.0000 0.0000

# 10
# AcHg2Pb (PBE, relaxed)
# - Total energy: -0.089 Ha/atom
# - DFT formation energy: -126 kJ/mol of formula units
data_AcHg2Pb
_chemical_formula_sum 'Ac1 Hg2 Pb1'
_cell_length_a 3.981
_cell_length_b 3.981
_cell_length_c 7.604
_cell_angle_alpha 90.00
_cell_angle_beta 90.00
_cell_angle_gamma 90.00
_space_group_name_H-M_alt 'P 4/m m m'
_space_group_IT_number 123
_space_group_name_Hall '-P 4 2'
loop_
_atom_site_label
_atom_site_type_symbol
_atom_site_fract_x
_atom_site_fract_y
_atom_site_fract_z
Ac1 Ac 0.000 0.000 0.000
Hg1 Hg 0.500 0.500 0.261
Pb1 Pb 0.000 0.000 0.500

# 11
# AcHg6Pb (PBE, relaxed)
# - Total energy: -0.052 Ha/atom
# - DFT formation energy: -154 kJ/mol of formula units
data_AcHg6Pb
_chemical_formula_sum 'Ac2 Hg12 Pb2'
_cell_length_a 5.218
_cell_length_b 6.840
_cell_length_c 12.504
_cell_angle_alpha 90.00
_cell_angle_beta 90.00
_cell_angle_gamma 90.00
_space_group_name_H-M_alt 'A m m 2'
_space_group_IT_number 38
loop_
_space_group_symop_operation_xyz
'x,y,z'
'-x,-y,z'
'-x,y,z'
'x,-y,z'
'x,y+1/2,z+1/2'
'-x,-y+1/2,z+1/2'
'-x,y+1/2,z+1/2'
'x,-y+1/2,z+1/2'
loop_
_atom_site_label
_atom_site_type_symbol
_atom_site_fract_x
_atom_site_fract_y
_atom_site_fract_z
Ac1 Ac 0.000 0.000 0.000
Hg1 Hg 0.000 0.000 0.474
Hg2 Hg 0.000 0.247 0.248
Hg3 Hg 0.500 0.000 0.171
Hg4 Hg 0.500 0.248 0.897
Pb1 Pb 0.500 0.000 0.641

# 12
# Ac4HgPb5 (PBE, relaxed)
# - Total energy: -0.146 Ha/atom
# - DFT formation energy: -434 kJ/mol of formula units
data_Ac4HgPb5
_chemical_formula_sum 'Ac8 Hg2 Pb10'
_cell_length_a 19.532
_cell_length_b 5.268
_cell_length_c 7.152
_cell_angle_alpha 90.00
_cell_angle_beta 110.68
_cell_angle_gamma 90.00
_space_group_name_H-M_alt 'C 1 2/m 1'
_space_group_IT_number 12
loop_
_space_group_symop_operation_xyz
'x,y,z'
'-x,-y,-z'
'-x,y,-z'
'x,-y,z'
'x+1/2,y+1/2,z'
'-x+1/2,-y+1/2,-z'
'-x+1/2,y+1/2,-z'
'x+1/2,-y+1/2,z'
loop_
_atom_site_label
_atom_site_type_symbol
_atom_site_fract_x
_atom_site_fract_y
_atom_site_fract_z
Ac1 Ac 0.086 0.000 0.327
Ac2 Ac 0.197 0.500 0.093
Hg1 Hg 0.000 0.500 0.000
Pb1 Pb 0.000 0.500 0.500
Pb2 Pb 0.102 0.000 0.824
Pb3 Pb 0.205 0.500 0.590